Record 1
# CaZr3Zn, relaxed, DFT PBE
# Formation energy: 1.63 eV/atom
# Size of the total moment: 0.0 Bohr magnetons per cell
data_CaZr3Zn
_chemical_formula_sum 'Ca1 Zr3 Zn1'
_space_group_name_H-M_alt 'P m -3 m'
_space_group_IT_number 221
_space_group_name_Hall '-P 4 2 3'
_cell_length_a 5.050
_cell_length_b 5.050
_cell_length_c 5.050
_cell_angle_alpha 90.00
_cell_angle_beta 90.00
_cell_angle_gamma 90.00
loop_
_atom_site_label
_atom_site_type_symbol
_atom_site_fract_x
_atom_site_fract_y
_atom_site_fract_z
_atom_site_occupancy
Ca1 Ca 0.000 0.000 0.000 1
Zr1 Zr 0.000 0.000 0.500 1
Zn1 Zn 0.500 0.500 0.500 1



Record 2
# CaZrZn, relaxed, DFT PBE
# Formation energy: 0.37 eV/atom
# Size of the total moment: 0.0 Bohr magnetons per cell
data_CaZrZn
_chemical_formula_sum 'Ca4 Zr4 Zn4'
_space_group_name_H-M_alt 'F -4 3 m'
_space_group_IT_number 216
_space_group_name_Hall 'F -4 2 3'
_cell_length_a 6.823
_cell_length_b 6.823
_cell_length_c 6.823
_cell_angle_alpha 90.00
_cell_angle_beta 90.00
_cell_angle_gamma 90.00
loop_
_atom_site_label
_atom_site_type_symbol
_atom_site_fract_x
_atom_site_fract_y
_atom_site_fract_z
_atom_site_occupancy
Ca1 Ca 0.000 0.000 0.000 1
Zr1 Zr 0.000 0.000 0.500 1
Zn1 Zn 0.250 0.250 0.250 1



Record 3
# CaZr2Zn, relaxed, DFT PBE
# Formation energy: 0.12 eV/atom
# Size of the total moment: 0.5 Bohr magnetons per cell
data_CaZr2Zn
_chemical_formula_sum 'Ca1 Zr2 Zn1'
_space_group_name_H-M_alt 'P 4/m m m'
_space_group_IT_number 123
_space_group_name_Hall '-P 4 2'
_cell_length_a 3.193
_cell_length_b 3.193
_cell_length_c 9.407
_cell_angle_alpha 90.00
_cell_angle_beta 90.00
_cell_angle_gamma 90.00
loop_
_atom_site_label
_atom_site_type_symbol
_atom_site_fract_x
_atom_site_fract_y
_atom_site_fract_z
_atom_site_occupancy
Ca1 Ca 0.000 0.000 0.000 1
Zr1 Zr 0.500 0.500 0.309 1
Zn1 Zn 0.000 0.000 0.500 1



Record 4
# CaZr2Zn, relaxed, DFT PBE
# Formation energy: 0.20 eV/atom
# Size of the total moment: 0.0 Bohr magnetons per cell
data_CaZr2Zn
_chemical_formula_sum 'Ca1 Zr2 Zn1'
_space_group_name_H-M_alt 'P 4/m m m'
_space_group_IT_number 123
_space_group_name_Hall '-P 4 2'
_cell_length_a 4.432
_cell_length_b 4.432
_cell_length_c 4.644
_cell_angle_alpha 90.00
_cell_angle_beta 90.00
_cell_angle_gamma 90.00
loop_
_atom_site_label
_atom_site_type_symbol
_atom_site_fract_x
_atom_site_fract_y
_atom_site_fract_z
_atom_site_occupancy
Ca1 Ca 0.000 0.000 0.000 1
Zr1 Zr 0.000 0.500 0.500 1
Zn1 Zn 0.500 0.500 0.000 1



In order of appearance, E_tot = -4.150; -3.567; -4.978; -4.891 eV per atom.